# GGA-PBE Tb2TmAu, optimized geometry
data_Tb2TmAu
_symmetry_space_group_name_H-M 'P 1'
_symmetry_Int_Tables_number 1
_symmetry_space_group_name_Hall 'P 1'
_cell_length_a 3.495
_cell_length_b 3.495
_cell_length_c 11.447
_cell_angle_alpha 81.22
_cell_angle_beta 81.22
_cell_angle_gamma 60.00
loop_
_atom_site_label
_atom_site_type_symbol
_atom_site_fract_x
_atom_site_fract_y
_atom_site_fract_z
Tm1 Tm 0.500 0.500 0.500
Au1 Au 0.000 0.000 0.000
Tb1 Tb 0.083 0.083 0.750
Tb2 Tb 0.917 0.917 0.250
# - crystal system = trigonal
# - symmetry = R-3m, No. 166
# - electronic total energy (eV per formula unit) = -16.475
# - total magnetization (μB/f.u.) = 0.00
# - energy relative to the elements (eV per formula unit) = 0.53

***

# GGA-PBE ZnNiRh, optimized geometry
data_ZnNiRh
_symmetry_space_group_name_H-M 'P 1'
_symmetry_Int_Tables_number 1
_symmetry_space_group_name_Hall 'P 1'
_cell_length_a 4.602
_cell_length_b 3.678
_cell_length_c 5.363
_cell_angle_alpha 89.99
_cell_angle_beta 72.05
_cell_angle_gamma 66.45
loop_
_atom_site_label
_atom_site_type_symbol
_atom_site_fract_x
_atom_site_fract_y
_atom_site_fract_z
Zn1 Zn 0.302 0.642 0.529
Zn2 Zn 0.289 0.649 0.053
Ni1 Ni 0.961 0.313 0.372
Ni2 Ni 0.630 0.978 0.210
Rh1 Rh 0.961 0.313 0.881
Rh2 Rh 0.630 0.977 0.701
# - crystal system = monoclinic
# - symmetry = C2/m, No. 12
# - electronic total energy (eV per formula unit) = -14.784
# - total magnetization (μB/f.u.) = 0.95
# - energy relative to the elements (eV per formula unit) = -0.38

***

# GGA-PBE Nd2AlGe2, optimized geometry
data_Nd2AlGe2
_symmetry_space_group_name_H-M 'P 1'
_symmetry_Int_Tables_number 1
_symmetry_space_group_name_Hall 'P 1'
_cell_length_a 4.286
_cell_length_b 7.312
_cell_length_c 8.364
_cell_angle_alpha 90.00
_cell_angle_beta 104.85
_cell_angle_gamma 90.00
loop_
_atom_site_label
_atom_site_type_symbol
_atom_site_fract_x
_atom_site_fract_y
_atom_site_fract_z
Ge1 Ge 0.172 0.491 0.344
Ge2 Ge 0.828 0.991 0.656
Ge3 Ge 0.570 0.935 0.139
Ge4 Ge 0.430 0.435 0.861
Al1 Al 0.597 0.582 0.193
Al2 Al 0.403 0.082 0.807
Nd1 Nd 0.793 0.394 0.585
Nd2 Nd 0.966 0.732 0.932
Nd3 Nd 0.034 0.232 0.068
Nd4 Nd 0.207 0.894 0.415
# - crystal system = orthorhombic
# - symmetry = Cmc2_1, No. 36
# - electronic total energy (eV per formula unit) = -25.812
# - total magnetization (μB/f.u.) = 0.00
# - energy relative to the elements (eV per formula unit) = -3.30

***

# GGA-PBE DyTh2Si2, optimized geometry
data_DyTh2Si2
_symmetry_space_group_name_H-M 'P 1'
_symmetry_Int_Tables_number 1
_symmetry_space_group_name_Hall 'P 1'
_cell_length_a 4.269
_cell_length_b 7.660
_cell_length_c 7.660
_cell_angle_alpha 90.00
_cell_angle_beta 90.00
_cell_angle_gamma 90.00
loop_
_atom_site_label
_atom_site_type_symbol
_atom_site_fract_x
_atom_site_fract_y
_atom_site_fract_z
Si1 Si 0.000 0.383 0.883
Si2 Si 0.000 0.617 0.117
Si3 Si 0.000 0.117 0.383
Si4 Si 0.000 0.883 0.617
Dy1 Dy 0.000 0.000 0.000
Dy2 Dy 0.000 0.500 0.500
Th1 Th 0.500 0.179 0.679
Th2 Th 0.500 0.679 0.821
Th3 Th 0.500 0.821 0.321
Th4 Th 0.500 0.321 0.179
# - crystal system = tetragonal
# - symmetry = P4/mbm, No. 127
# - electronic total energy (eV per formula unit) = -33.667
# - total magnetization (μB/f.u.) = 0.00

***

# GGA-PBE Pr6Rh2Br3F, optimized geometry
data_Pr6Rh2Br3F
_symmetry_space_group_name_H-M 'P 1'
_symmetry_Int_Tables_number 1
_symmetry_space_group_name_Hall 'P 1'
_cell_length_a 7.018
_cell_length_b 7.018
_cell_length_c 8.305
_cell_angle_alpha 98.08
_cell_angle_beta 98.08
_cell_angle_gamma 120.19
loop_
_atom_site_label
_atom_site_type_symbol
_atom_site_fract_x
_atom_site_fract_y
_atom_site_fract_z
Br1 Br 0.500 0.500 0.500
Br2 Br 0.826 0.174 0.500
Br3 Br 0.174 0.826 0.500
Pr1 Pr 0.401 0.067 0.202
Pr2 Pr 0.067 0.401 0.202
Pr3 Pr 0.734 0.734 0.200
Pr4 Pr 0.933 0.599 0.798
Pr5 Pr 0.599 0.933 0.798
Pr6 Pr 0.266 0.266 0.800
Rh1 Rh 0.666 0.334 0.000
Rh2 Rh 0.334 0.666 0.000
F1 F 0.000 0.000 0.000
# - crystal system = monoclinic
# - symmetry = C2/m, No. 12
# - electronic total energy (eV per formula unit) = -65.286
# - total magnetization (μB/f.u.) = 1.21

***

# GGA-PBE RbAg2Os, optimized geometry
data_RbAg2Os
_symmetry_space_group_name_H-M 'P 1'
_symmetry_Int_Tables_number 1
_symmetry_space_group_name_Hall 'P 1'
_cell_length_a 5.484
_cell_length_b 5.484
_cell_length_c 9.821
_cell_angle_alpha 73.79
_cell_angle_beta 73.79
_cell_angle_gamma 90.00
loop_
_atom_site_label
_atom_site_type_symbol
_atom_site_fract_x
_atom_site_fract_y
_atom_site_fract_z
Ag1 Ag 0.875 0.126 0.750
Ag2 Ag 0.375 0.124 0.750
Ag3 Ag 0.874 0.625 0.250
Ag4 Ag 0.876 0.125 0.250
Os1 Os 0.000 0.000 0.000
Os2 Os 0.750 0.250 0.500
Rb1 Rb 0.500 0.500 0.000
Rb2 Rb 0.250 0.750 0.500
# - crystal system = tetragonal
# - symmetry = I4_1/amd, No. 141
# - electronic total energy (eV per formula unit) = -12.972
# - total magnetization (μB/f.u.) = 2.52
# - energy relative to the elements (eV per formula unit) = 4.93

***

# GGA-PBE Na2BeTe, optimized geometry
data_Na2BeTe
_symmetry_space_group_name_H-M 'P 1'
_symmetry_Int_Tables_number 1
_symmetry_space_group_name_Hall 'P 1'
_cell_length_a 4.151
_cell_length_b 4.151
_cell_length_c 11.310
_cell_angle_alpha 79.42
_cell_angle_beta 79.42
_cell_angle_gamma 90.00
loop_
_atom_site_label
_atom_site_type_symbol
_atom_site_fract_x
_atom_site_fract_y
_atom_site_fract_z
Te1 Te 0.750 0.250 0.500
Te2 Te 0.000 0.000 0.000
Be1 Be 0.250 0.750 0.500
Be2 Be 0.500 0.500 0.000
Na1 Na 0.875 0.871 0.750
Na2 Na 0.375 0.379 0.750
Na3 Na 0.129 0.625 0.250
Na4 Na 0.621 0.125 0.250
# - crystal system = tetragonal
# - symmetry = I-42d, No. 122
# - electronic total energy (eV per formula unit) = -8.439
# - total magnetization (μB/f.u.) = 0.00

***

# GGA-PBE SiBrF2, optimized geometry
data_SiBrF2
_symmetry_space_group_name_H-M 'P 1'
_symmetry_Int_Tables_number 1
_symmetry_space_group_name_Hall 'P 1'
_cell_length_a 4.400
_cell_length_b 4.400
_cell_length_c 4.400
_cell_angle_alpha 60.00
_cell_angle_beta 60.00
_cell_angle_gamma 60.00
loop_
_atom_site_label
_atom_site_type_symbol
_atom_site_fract_x
_atom_site_fract_y
_atom_site_fract_z
Si1 Si 0.000 0.000 0.000
F1 F 0.250 0.250 0.250
F2 F 0.750 0.750 0.750
Br1 Br 0.500 0.500 0.500
# - crystal system = cubic
# - symmetry = Fm-3m, No. 225
# - electronic total energy (eV per formula unit) = -12.408
# - total magnetization (μB/f.u.) = 1.00